Here is an optimized crystal structure of PmNbSi2O8 from Alexandria. Energies are from PBE.

The space group is I-4m2 (119). The uncorrected energy comes out at -8.239 eV per atom. Its magnetization is 0.00 μB/f.u. Its energy relative to the elements, uncorrected is -33.54 eV/f.u.

a = 5.7152 Å, b = 5.7152 Å, c = 5.7152 Å
α = 106.10°, β = 106.10°, γ = 116.45°
Closest atoms and distances in Å follow each position.
Element x y z (fractional)
Nb 0.0000 0.0000 0.0000  8 O 2.17-2.19
O 0.8609 0.6914 0.1695  1 Si 1.64
O 0.9144 0.2205 0.3061  1 Si 1.66
O 0.5220 0.6914 0.8305  1 Si 1.64
O 0.9144 0.6084 0.6939  1 Si 1.66
O 0.3086 0.1391 0.8305  1 Si 1.64
O 0.3916 0.0856 0.3061  1 Si 1.66
O 0.7795 0.0856 0.6939  1 Si 1.66
O 0.3086 0.4780 0.1695  1 Si 1.64
Si 0.5000 0.5000 0.0000  4 O 1.64
Si 0.7500 0.2500 0.5000  4 O 1.66
Pm 0.2500 0.7500 0.5000  8 O 2.30-2.42